# 1
Here is Rb4C at its PBEsol-relaxed geometry from Alexandria via LeMat-Bulk. Energies are from SCAN.

a b c (Å): 7.919 7.919 7.919
angles (deg): 90.00 90.00 90.00
Space group Im-3m (No. 229)
Unique sites:
Rb1 0.250 0.250 0.250 [8 per cell]
C1 0.000 0.000 0.000 [2 per cell]

ΔE_f: 920 meV/atom



# 2
Here is RbC at its PBEsol-relaxed geometry from Alexandria via LeMat-Bulk. Energies are from SCAN.

a b c (Å): 6.163 6.163 6.163
angles (deg): 90.00 90.00 90.00
Space group Pm-3m (No. 221)
Unique sites:
Rb1 0.000 0.000 0.500 [3 per cell]
C1 0.000 0.500 0.500 [3 per cell]

ΔE_f: 2390 meV/atom
ΔE to the lowest computed polymorph: 1472 meV per atom



# 3
Here is Rb2C at its PBEsol-relaxed geometry from Alexandria via LeMat-Bulk. Energies are from SCAN.

a b c (Å): 4.510 4.510 6.084
angles (deg): 90.00 90.00 90.00
Space group P4/mmm (No. 123)
Unique sites:
Rb1 0.000 0.000 0.000 [1 per cell]
Rb2 0.500 0.500 0.500 [1 per cell]
C1 0.000 0.000 0.500 [1 per cell]

ΔE_f: 1342 meV/atom
ΔE to the lowest computed polymorph: 0 meV per atom



# 4
Here is Rb2C at its PBEsol-relaxed geometry from Alexandria via LeMat-Bulk. Energies are from SCAN.

a b c (Å): 6.551 15.423 4.359
angles (deg): 90.00 90.00 90.00
Space group Cmmm (No. 65)
Unique sites:
Rb1 0.000 0.000 0.000 [2 per cell]
Rb2 0.000 0.232 0.500 [4 per cell]
Rb3 0.000 0.500 0.500 [2 per cell]
C1 0.000 0.362 0.000 [4 per cell]

ΔE_f: 1468 meV/atom
ΔE to the lowest computed polymorph: 126 meV per atom



# 5
Here is Rb2C3 at its PBEsol-relaxed geometry from Alexandria via LeMat-Bulk. Energies are from SCAN.

a b c (Å): 2.8301 2.8301 30.1356
angles (deg): 90.00 90.00 120.00
Space group R-3m (No. 166, hexagonal axes)
Unique sites:
Rb1 0.0000 0.0000 0.0902 [6 per cell]
C1 0.0000 0.0000 0.3333 [6 per cell]
C2 0.0000 0.0000 0.5000 [3 per cell]

ΔE_f: 1910 meV/atom



# 6
Here is RbC8 at its PBEsol-relaxed geometry from Alexandria via LeMat-Bulk. Energies are from SCAN.

a b c (Å): 4.961 8.594 22.240
angles (deg): 90.00 90.00 90.00
Space group Fddd (No. 70, origin choice 2)
Unique sites:
Rb1 0.125 0.125 0.125 [8 per cell]
C1 0.125 0.292 0.000 [32 per cell]
C2 0.125 0.292 0.501 [32 per cell]

ΔE_f: -56 meV/atom



# 7
Here is RbC5 at its PBEsol-relaxed geometry from Alexandria via LeMat-Bulk. Energies are from SCAN.

a b c (Å): 6.912 6.912 6.912
angles (deg): 90.00 90.00 90.00
Space group F-43m (No. 216)
Unique sites:
Rb1 0.000 0.000 0.000 [4 per cell]
C1 0.079 0.079 0.579 [16 per cell]
C2 0.250 0.250 0.250 [4 per cell]

ΔE_f: 3138 meV/atom



# 8
Here is Rb3C4 at its PBEsol-relaxed geometry from Alexandria via LeMat-Bulk. Energies are from SCAN.

a b c (Å): 7.7571 7.7571 3.9220
angles (deg): 90.00 90.00 120.00
Space group P6/mmm (No. 191)
Unique sites:
Rb1 0.0000 0.5000 0.0000 [3 per cell]
C1 0.0000 0.0000 0.3364 [2 per cell]
C2 0.3333 0.6667 0.5000 [2 per cell]

ΔE_f: 1863 meV/atom



# 9
Here is RbReCSe2 at its PBEsol-relaxed geometry from Alexandria via LeMat-Bulk. Energies are from SCAN.

a b c (Å): 4.680 4.680 7.065
angles (deg): 90.00 90.00 90.00
Space group P4/mmm (No. 123)
Unique sites:
Rb1 0.000 0.000 0.000 [1 per cell]
Re1 0.000 0.000 0.500 [1 per cell]
C1 0.500 0.500 0.000 [1 per cell]
Se1 0.000 0.500 0.500 [2 per cell]

E_form (uncorrected): 1.431 eV/atom



# 10
Here is Rb2TaRhC at its PBEsol-relaxed geometry from Alexandria via LeMat-Bulk. Energies are from SCAN.

a b c (Å): 5.823 5.823 4.038
angles (deg): 90.00 90.00 90.00
Space group P4/mmm (No. 123)
Unique sites:
Rb1 0.000 0.500 0.000 [2 per cell]
Ta1 0.000 0.000 0.500 [1 per cell]
Rh1 0.500 0.500 0.500 [1 per cell]
C1 0.000 0.000 0.000 [1 per cell]

ΔE_f: 1575 meV/atom



# 11
Here is Rb2SbCS at its PBEsol-relaxed geometry from Alexandria via LeMat-Bulk. Energies are from SCAN.

a b c (Å): 6.718 6.718 4.100
angles (deg): 90.00 90.00 90.00
Space group P4/mmm (No. 123)
Unique sites:
Rb1 0.000 0.500 0.000 [2 per cell]
Sb1 0.000 0.000 0.000 [1 per cell]
C1 0.000 0.000 0.500 [1 per cell]
S1 0.500 0.500 0.500 [1 per cell]

E_form (uncorrected): 0.586 eV/atom



# 12
Here is RbSb2C at its PBEsol-relaxed geometry from Alexandria via LeMat-Bulk. Energies are from SCAN.

a b c (Å): 7.445 7.445 7.766
angles (deg): 90.00 90.00 90.00
Space group I-42d (No. 122)
Unique sites:
Rb1 0.000 0.000 0.000 [4 per cell]
Sb1 0.121 0.750 0.625 [8 per cell]
C1 0.000 0.000 0.500 [4 per cell]

E_form (uncorrected): 0.727 eV/atom



Final energy per entry: -1.300; -0.958; -1.165; -1.156; -0.915; -0.833; -0.642; -0.941; -1.984; -2.118; -1.404; -1.883 Ry per atom
Theoretical density per entry: 2367; 2074; 2455; 2759; 4933; 2543; 2927; 2474; 4740; 5661; 3022; 5262 kg/m3
V per entry: 248; 78; 124; 110; 70; 119; 83; 204; 155; 137; 185; 108 Å³/f.u.